[1]
This record from Alexandria via LeMat-Bulk describes a relaxed ErSc2Al2Zn2 crystal. The functional is PBE.

Values from the calculation:
DOS(E_F) = 4.7 states/eV/cell
symmetry = R-3m, No. 166
formation energy from the elements = -311 meV/atom

Unit cell a=8.843 b=8.843 c=8.843 alpha=28.96 beta=28.96 gamma=28.96
Positions (direct):
Er  0.000  0.000  0.000
Sc  0.130  0.130  0.130
Sc  0.870  0.870  0.870
Al  0.258  0.258  0.258
Al  0.742  0.742  0.742
Zn  0.405  0.405  0.405
Zn  0.595  0.595  0.595

[2]
This record from Alexandria via LeMat-Bulk describes a relaxed ZrRe2Cl crystal. The functional is PBE.

Values from the calculation:
DOS(E_F) = 2.9 states/eV/cell
energy above the most stable polymorph in this dataset = 159 meV per atom
raw formation energy = 0.034 eV per atom
symmetry = R3m, No. 160

Unit cell a=9.898 b=9.898 c=9.898 alpha=17.21 beta=17.21 gamma=17.21
Positions (direct):
Zr  0.000  0.000  0.000
Re  0.248  0.248  0.248
Re  0.513  0.513  0.513
Cl  0.733  0.733  0.733

[3]
This record from Alexandria via LeMat-Bulk describes a relaxed ZrV4Ga4 crystal. The functional is PBE.

Values from the calculation:
DOS(E_F) = 15.1 states/eV/cell
symmetry = P4_2/n, No. 86
formation energy from the elements = -28 meV/atom

Unit cell a=7.651 b=7.651 c=4.868 alpha=90.00 beta=90.00 gamma=90.00
Positions (direct):
Zr  0.250  0.250  0.250
Zr  0.750  0.750  0.750
V  0.116  0.803  0.640
V  0.197  0.616  0.140
V  0.303  0.884  0.140
V  0.384  0.697  0.640
V  0.616  0.303  0.360
V  0.697  0.116  0.860
V  0.803  0.384  0.860
V  0.884  0.197  0.360
Ga  0.040  0.122  0.821
Ga  0.122  0.460  0.679
Ga  0.378  0.040  0.679
Ga  0.460  0.378  0.821
Ga  0.540  0.622  0.179
Ga  0.622  0.960  0.321
Ga  0.878  0.540  0.321
Ga  0.960  0.878  0.179

[4]
This record from Alexandria via LeMat-Bulk describes a relaxed Ac3ErTl3 crystal. The functional is PBE.

Values from the calculation:
DOS(E_F) = 13.8 states/eV/cell
symmetry = C2/m, No. 12
formation energy from the elements = -209 meV/atom

Unit cell a=7.301 b=7.301 c=9.971 alpha=92.40 beta=92.40 gamma=105.77
Positions (direct):
Ac  0.177  0.823  0.000
Ac  0.250  0.750  0.500
Ac  0.398  0.398  0.183
Ac  0.602  0.602  0.817
Ac  0.750  0.250  0.500
Ac  0.823  0.177  0.000
Er  0.262  0.262  0.547
Er  0.738  0.738  0.453
Tl  0.028  0.028  0.279
Tl  0.077  0.459  0.767
Tl  0.459  0.077  0.767
Tl  0.541  0.923  0.233
Tl  0.923  0.541  0.233
Tl  0.972  0.972  0.721

[5]
This record from Alexandria via LeMat-Bulk describes a relaxed Mg2Ge3Rh2 crystal. The functional is PBE.

Values from the calculation:
DOS(E_F) = 2.5 states/eV/cell
symmetry = C2/m, No. 12
formation energy from the elements = -466 meV/atom

Unit cell a=5.149 b=5.149 c=6.843 alpha=110.71 beta=110.71 gamma=45.45
Positions (direct):
Mg  0.164  0.164  0.306
Mg  0.836  0.836  0.694
Ge  0.373  0.373  0.039
Ge  0.500  0.500  0.500
Ge  0.627  0.627  0.961
Rh  0.127  0.127  0.713
Rh  0.873  0.873  0.287

[6]
This record from Alexandria via LeMat-Bulk describes a relaxed CrGePS2 crystal. The functional is PBE.

Values from the calculation:
DOS(E_F) = 4.9 states/eV/cell
energy above the most stable polymorph in this dataset = 156 meV per atom
raw formation energy = 0.514 eV per atom
symmetry = P4/mmm, No. 123

Unit cell a=4.277 b=4.277 c=5.195 alpha=90.00 beta=90.00 gamma=90.00
Positions (direct):
Cr  0.000  0.000  0.000
Ge  0.000  0.000  0.500
P  0.500  0.500  0.500
S  0.000  0.500  0.000
S  0.500  0.000  0.000

[7]
This record from Alexandria via LeMat-Bulk describes a relaxed Nd8Hg2Pd crystal. The functional is PBE.

Values from the calculation:
DOS(E_F) = 13.7 states/eV/cell
energy above the most stable polymorph in this dataset = 89 meV per atom
symmetry = C2/m, No. 12
formation energy from the elements = -190 meV/atom

Unit cell a=8.908 b=8.908 c=5.134 alpha=106.70 beta=106.70 gamma=60.09
Positions (direct):
Nd  0.062  0.624  0.343
Nd  0.169  0.831  0.000
Nd  0.376  0.938  0.657
Nd  0.377  0.377  0.876
Nd  0.623  0.623  0.124
Nd  0.624  0.062  0.343
Nd  0.831  0.169  0.000
Nd  0.938  0.376  0.657
Hg  0.205  0.205  0.204
Hg  0.795  0.795  0.796
Pd  0.500  0.500  0.500

[8]
This record from Alexandria via LeMat-Bulk describes a relaxed AcSnPbAu crystal. The functional is PBE.

Values from the calculation:
DOS(E_F) = 2.1 states/eV/cell
symmetry = F-43m, No. 216
formation energy from the elements = -424 meV/atom

Unit cell a=5.506 b=5.506 c=5.506 alpha=60.00 beta=60.00 gamma=60.00
Positions (direct):
Ac  0.000  0.000  0.000
Sn  0.250  0.250  0.250
Pb  0.500  0.500  0.500
Au  0.750  0.750  0.750

[9]
This record from Alexandria via LeMat-Bulk describes a relaxed PuPd2S crystal. The functional is PBE.

Values from the calculation:
DOS(E_F) = 6.9 states/eV/cell
raw formation energy = 0.147 eV per atom
symmetry = R-3m, No. 166

Unit cell a=9.098 b=9.098 c=9.098 alpha=19.92 beta=19.92 gamma=19.92
Positions (direct):
Pu  0.000  0.000  0.000
Pd  0.100  0.100  0.100
Pd  0.900  0.900  0.900
S  0.500  0.500  0.500

[10]
This record from Alexandria via LeMat-Bulk describes a relaxed Ta2CuSi crystal. The functional is PBE.

Values from the calculation:
DOS(E_F) = 3.4 states/eV/cell
raw formation energy = -0.056 eV per atom
symmetry = I-4m2, No. 119

Unit cell a=5.081 b=5.081 c=5.081 alpha=136.15 beta=136.15 gamma=63.75
Positions (direct):
Ta  0.000  0.000  0.000
Ta  0.750  0.250  0.500
Cu  0.250  0.750  0.500
Si  0.500  0.500  0.000

[11]
This record from Alexandria via LeMat-Bulk describes a relaxed BAu2F2 crystal. The functional is PBE.

Values from the calculation:
DOS(E_F) = 2.7 states/eV/cell
energy above the most stable polymorph in this dataset = 0 meV per atom
raw formation energy = 0.490 eV per atom
symmetry = P4/mbm, No. 127

Unit cell a=7.109 b=7.109 c=2.783 alpha=90.00 beta=90.00 gamma=90.00
Positions (direct):
B  0.000  0.000  0.000
B  0.500  0.500  0.000
Au  0.180  0.320  0.500
Au  0.320  0.820  0.500
Au  0.680  0.180  0.500
Au  0.820  0.680  0.500
F  0.123  0.623  0.000
F  0.377  0.123  0.000
F  0.623  0.877  0.000
F  0.877  0.377  0.000

[12]
This record from Alexandria via LeMat-Bulk describes a relaxed ScHS2N crystal. The functional is PBE.

Values from the calculation:
DOS(E_F) = 1.6 states/eV/cell
energy above the most stable polymorph in this dataset = 0 meV per atom
symmetry = P4/mmm, No. 123

Unit cell a=4.666 b=4.666 c=2.818 alpha=90.00 beta=90.00 gamma=90.00
Positions (direct):
Sc  0.000  0.000  0.000
H  0.500  0.500  0.500
S  0.000  0.500  0.500
S  0.500  0.000  0.500
N  0.500  0.500  0.000

[13]
This record from Alexandria via LeMat-Bulk describes a relaxed Ac2MgIn4 crystal. The functional is PBE.

Values from the calculation:
DOS(E_F) = 5.4 states/eV/cell
symmetry = I4/mmm, No. 139
formation energy from the elements = -73 meV/atom

Unit cell a=9.341 b=9.341 c=9.341 alpha=147.41 beta=147.41 gamma=46.76
Positions (direct):
Ac  0.139  0.139  0.000
Ac  0.861  0.861  0.000
Mg  0.500  0.500  0.000
In  0.000  0.500  0.500
In  0.334  0.334  0.000
In  0.500  0.000  0.500
In  0.666  0.666  0.000

[14]
This record from Alexandria via LeMat-Bulk describes a relaxed Na4Hf3NpSe8 crystal. The functional is PBE.

Values from the calculation:
DOS(E_F) = 13.0 states/eV/cell
raw formation energy = -1.226 eV per atom
symmetry = R-3m, No. 166

Unit cell a=8.447 b=8.447 c=8.447 alpha=54.92 beta=54.92 gamma=54.92
Positions (direct):
Na  0.000  0.000  0.000
Na  0.000  0.500  0.500
Na  0.500  0.000  0.500
Na  0.500  0.500  0.000
Hf  0.000  0.000  0.500
Hf  0.000  0.500  0.000
Hf  0.500  0.000  0.000
Np  0.500  0.500  0.500
Se  0.227  0.750  0.750
Se  0.240  0.240  0.240
Se  0.250  0.250  0.773
Se  0.250  0.773  0.250
Se  0.750  0.227  0.750
Se  0.750  0.750  0.227
Se  0.760  0.760  0.760
Se  0.773  0.250  0.250

[15]
This record from Alexandria via LeMat-Bulk describes a relaxed Ac2Y15Tm2 crystal. The functional is PBE.

Values from the calculation:
DOS(E_F) = 32.8 states/eV/cell
symmetry = R-3m, No. 166
formation energy from the elements = 309 meV/atom

Unit cell a=8.840 b=8.840 c=8.840 alpha=79.58 beta=79.58 gamma=79.58
Positions (direct):
Ac  0.111  0.111  0.111
Ac  0.889  0.889  0.889
Y  0.000  0.000  0.500
Y  0.000  0.308  0.692
Y  0.000  0.500  0.000
Y  0.000  0.692  0.308
Y  0.156  0.628  0.628
Y  0.308  0.000  0.692
Y  0.308  0.692  0.000
Y  0.372  0.372  0.844
Y  0.372  0.844  0.372
Y  0.500  0.000  0.000
Y  0.628  0.156  0.628
Y  0.628  0.628  0.156
Y  0.692  0.000  0.308
Y  0.692  0.308  0.000
Y  0.844  0.372  0.372
Tm  0.326  0.326  0.326
Tm  0.674  0.674  0.674

[16]
This record from Alexandria via LeMat-Bulk describes a relaxed V6Co10Ni crystal. The functional is PBE.

Values from the calculation:
DOS(E_F) = 15.7 states/eV/cell
symmetry = P-31m, No. 162
formation energy from the elements = -21 meV/atom

Unit cell a=6.832 b=6.832 c=4.913 alpha=90.00 beta=90.00 gamma=120.00
Positions (direct):
V  0.000  0.358  0.291
V  0.000  0.642  0.709
V  0.358  0.000  0.291
V  0.358  0.358  0.709
V  0.642  0.000  0.709
V  0.642  0.642  0.291
Co  0.000  0.297  0.815
Co  0.000  0.703  0.185
Co  0.297  0.000  0.815
Co  0.297  0.297  0.185
Co  0.333  0.667  0.000
Co  0.333  0.667  0.500
Co  0.667  0.333  0.000
Co  0.667  0.333  0.500
Co  0.703  0.000  0.185
Co  0.703  0.703  0.815
Ni  0.000  0.000  0.500

[17]
This record from Alexandria via LeMat-Bulk describes a relaxed CeNd2YN4 crystal. The functional is PBE.

Values from the calculation:
DOS(E_F) = 3.0 states/eV/cell
raw formation energy = -1.489 eV per atom
symmetry = P2/m, No. 10

Unit cell a=6.183 b=3.586 c=6.209 alpha=90.00 beta=109.26 gamma=90.00
Positions (direct):
Ce  0.000  0.000  0.000
Nd  0.000  0.500  0.500
Nd  0.500  0.000  0.500
Y  0.500  0.500  0.000
N  0.243  0.500  0.235
N  0.251  0.000  0.764
N  0.749  0.000  0.236
N  0.757  0.500  0.765

[18]
This record from Alexandria via LeMat-Bulk describes a relaxed Sm3In2Pd4 crystal. The functional is PBE.

Values from the calculation:
DOS(E_F) = 5.9 states/eV/cell
symmetry = C2/m, No. 12
formation energy from the elements = -750 meV/atom

Unit cell a=5.462 b=5.462 c=9.026 alpha=93.29 beta=93.29 gamma=49.65
Positions (direct):
Sm  0.000  0.000  0.000
Sm  0.371  0.371  0.610
Sm  0.629  0.629  0.390
In  0.326  0.326  0.217
In  0.674  0.674  0.783
Pd  0.078  0.078  0.631
Pd  0.289  0.289  0.911
Pd  0.711  0.711  0.089
Pd  0.922  0.922  0.369

[19]
This record from Alexandria via LeMat-Bulk describes a relaxed Tm2Be2GeO7 crystal. The functional is PBE.

Values from the calculation:
DOS(E_F) = 0.0 states/eV/cell
raw formation energy = -2.892 eV per atom
symmetry = P-42_1m, No. 113

Unit cell a=7.375 b=7.375 c=4.782 alpha=90.00 beta=90.00 gamma=90.00
Positions (direct):
Tm  0.158  0.342  0.007
Tm  0.342  0.842  0.993
Tm  0.658  0.158  0.993
Tm  0.842  0.658  0.007
Be  0.135  0.635  0.550
Be  0.365  0.135  0.450
Be  0.635  0.865  0.450
Be  0.865  0.365  0.550
Ge  0.000  0.000  0.500
Ge  0.500  0.500  0.500
O  0.000  0.500  0.693
O  0.083  0.829  0.721
O  0.142  0.642  0.218
O  0.171  0.083  0.279
O  0.329  0.583  0.721
O  0.358  0.142  0.782
O  0.417  0.329  0.279
O  0.500  0.000  0.307
O  0.583  0.671  0.279
O  0.642  0.858  0.782
O  0.671  0.417  0.721
O  0.829  0.917  0.279
O  0.858  0.358  0.218
O  0.917  0.171  0.721

[20]
This record from Alexandria via LeMat-Bulk describes a relaxed SrCd3Ge3 crystal. The functional is PBE.

Values from the calculation:
DOS(E_F) = 10.3 states/eV/cell
symmetry = Pm-3n, No. 223
formation energy from the elements = 145 meV/atom

Unit cell a=7.467 b=7.467 c=7.467 alpha=90.00 beta=90.00 gamma=90.00
Positions (direct):
Sr  0.000  0.000  0.000
Sr  0.500  0.500  0.500
Cd  0.000  0.250  0.500
Cd  0.000  0.750  0.500
Cd  0.250  0.500  0.000
Cd  0.500  0.000  0.250
Cd  0.500  0.000  0.750
Cd  0.750  0.500  0.000
Ge  0.000  0.500  0.250
Ge  0.000  0.500  0.750
Ge  0.250  0.000  0.500
Ge  0.500  0.250  0.000
Ge  0.500  0.750  0.000
Ge  0.750  0.000  0.500

[21]
This record from Alexandria via LeMat-Bulk describes a relaxed SrCdCl3 crystal. The functional is PBE.

Values from the calculation:
DOS(E_F) = 1.7 states/eV/cell
energy above the most stable polymorph in this dataset = 174 meV per atom
raw formation energy = -1.221 eV per atom
symmetry = Pm-3m, No. 221

Unit cell a=5.371 b=5.371 c=5.371 alpha=90.00 beta=90.00 gamma=90.00
Positions (direct):
Sr  0.000  0.000  0.000
Cd  0.500  0.500  0.500
Cl  0.000  0.500  0.500
Cl  0.500  0.000  0.500
Cl  0.500  0.500  0.000

[22]
This record from Alexandria via LeMat-Bulk describes a relaxed Ta2MnTlMo crystal. The functional is PBE.

Values from the calculation:
DOS(E_F) = 5.0 states/eV/cell
symmetry = P4/mmm, No. 123
formation energy from the elements = 2575 meV/atom

Unit cell a=5.058 b=5.058 c=4.996 alpha=90.00 beta=90.00 gamma=90.00
Positions (direct):
Ta  0.000  0.500  0.000
Ta  0.500  0.000  0.000
Mn  0.000  0.000  0.500
Tl  0.500  0.500  0.000
Mo  0.500  0.500  0.500

[23]
This record from Alexandria via LeMat-Bulk describes a relaxed LiSn2SbPb crystal. The functional is PBE.

Values from the calculation:
DOS(E_F) = 2.9 states/eV/cell
raw formation energy = 0.261 eV per atom
symmetry = P4/mmm, No. 123

Unit cell a=5.826 b=5.826 c=4.858 alpha=90.00 beta=90.00 gamma=90.00
Positions (direct):
Li  0.000  0.000  0.000
Sn  0.000  0.500  0.500
Sn  0.500  0.000  0.500
Sb  0.000  0.000  0.500
Pb  0.500  0.500  0.000

no.,DFT total energy (eV per atom)
1,-4.21
2,-8.79
3,-6.38
4,-3.64
5,-5.00
6,-5.07
7,-4.18
8,-4.20
9,-7.06
10,-8.36
11,-2.90
12,-4.86
13,-3.04
14,-5.97
15,-5.70
16,-7.76
17,-8.39
18,-5.24
19,-7.54
20,-2.47
21,-2.85
22,-6.64
23,-3.29